LiAcS | PBE | optimized geometry

a b c (Å): 4.187 12.359 5.948
angles (deg): 90.00 90.00 90.00
Element x y z (fractional)
Li: 0.000 0.081 0.250
Li: 0.000 0.919 0.750
Li: 0.500 0.419 0.750
Li: 0.500 0.581 0.250
Ac: 0.000 0.367 0.250
Ac: 0.000 0.633 0.750
Ac: 0.500 0.133 0.750
Ac: 0.500 0.867 0.250
S: 0.000 0.320 0.750
S: 0.000 0.680 0.250
S: 0.500 0.180 0.250
S: 0.500 0.820 0.750

Computed properties:
* symmetry: No. 63
* formation energy from raw total energies: -1.203 eV per atom

***

Zr2ScGa | PBE | optimized geometry

a b c (Å): 4.354 4.354 4.352
angles (deg): 90.00 90.00 90.00
Element x y z (fractional)
Zr: 0.000 0.500 0.000
Zr: 0.500 0.000 0.000
Sc: 0.000 0.000 0.500
Ga: 0.500 0.500 0.500

Computed properties:
* symmetry: No. 123
* E_form: -0.32 eV/atom

***

TmGe2Bi2Pt7 | PBE | optimized geometry

a b c (Å): 4.015 4.015 15.716
angles (deg): 97.31 97.31 89.97
Element x y z (fractional)
Tm: 0.000 0.000 0.000
Ge: 0.383 0.383 0.764
Ge: 0.617 0.617 0.236
Bi: 0.211 0.211 0.421
Bi: 0.789 0.789 0.579
Pt: 0.069 0.569 0.139
Pt: 0.302 0.302 0.606
Pt: 0.431 0.931 0.861
Pt: 0.500 0.500 0.000
Pt: 0.569 0.069 0.139
Pt: 0.698 0.698 0.394
Pt: 0.931 0.431 0.861

Computed properties:
* symmetry: No. 12
* E_form: -0.59 eV/atom

***

LiZn6Rh3 | PBE | optimized geometry

a b c (Å): 7.555 4.248 9.041
angles (deg): 90.00 103.98 90.00
Element x y z (fractional)
Li: 0.053 0.250 0.401
Li: 0.947 0.750 0.599
Zn: 0.061 0.750 0.898
Zn: 0.152 0.250 0.713
Zn: 0.160 0.750 0.198
Zn: 0.258 0.750 0.499
Zn: 0.364 0.250 0.310
Zn: 0.462 0.750 0.094
Zn: 0.538 0.250 0.906
Zn: 0.636 0.750 0.690
Zn: 0.742 0.250 0.501
Zn: 0.840 0.250 0.802
Zn: 0.848 0.750 0.287
Zn: 0.939 0.250 0.102
Rh: 0.241 0.250 0.020
Rh: 0.345 0.750 0.798
Rh: 0.443 0.250 0.604
Rh: 0.557 0.750 0.396
Rh: 0.655 0.250 0.202
Rh: 0.759 0.750 0.980

Computed properties:
* symmetry: No. 11
* E_form: -0.34 eV/atom

***

AcGaFe | PBE | optimized geometry

a b c (Å): 6.806 6.806 7.653
angles (deg): 90.00 90.00 128.18
Element x y z (fractional)
Ac: 0.178 0.822 0.904
Ac: 0.322 0.678 0.404
Ac: 0.678 0.322 0.596
Ac: 0.822 0.178 0.096
Ga: 0.196 0.304 0.750
Ga: 0.304 0.196 0.250
Ga: 0.696 0.804 0.750
Ga: 0.804 0.696 0.250
Fe: 0.084 0.916 0.534
Fe: 0.416 0.584 0.034
Fe: 0.584 0.416 0.966
Fe: 0.916 0.084 0.466

Computed properties:
* symmetry: No. 64
* E_form: -0.04 eV/atom

***

CdNi2H2 | PBE | optimized geometry

a b c (Å): 3.464 3.464 8.755
angles (deg): 90.00 90.00 90.00
Element x y z (fractional)
Cd: 0.000 0.000 0.000
Cd: 0.500 0.500 0.500
Ni: 0.000 0.500 0.250
Ni: 0.000 0.500 0.750
Ni: 0.500 0.000 0.250
Ni: 0.500 0.000 0.750
H: 0.000 0.000 0.292
H: 0.000 0.000 0.708
H: 0.500 0.500 0.208
H: 0.500 0.500 0.792

Computed properties:
* symmetry: No. 139
* VASP energy: -3.86 eV/atom

***

Hf2CrReH | PBE | optimized geometry

a b c (Å): 4.594 4.594 3.358
angles (deg): 90.00 90.00 90.00
Element x y z (fractional)
Hf: 0.000 0.500 0.000
Hf: 0.500 0.000 0.000
Cr: 0.000 0.000 0.500
Re: 0.500 0.500 0.500
H: 0.000 0.000 0.000

Computed properties:
* symmetry: No. 123
* VASP energy: -9.24 eV/atom

***

Sm6Y5Th | PBE | optimized geometry

a b c (Å): 9.534 9.534 9.534
angles (deg): 148.99 115.29 73.48
Element x y z (fractional)
Sm: 0.085 0.336 0.749
Sm: 0.247 0.000 0.247
Sm: 0.414 0.664 0.749
Sm: 0.586 0.336 0.251
Sm: 0.753 0.000 0.753
Sm: 0.915 0.664 0.251
Y: 0.164 0.164 0.000
Y: 0.333 0.833 0.500
Y: 0.500 0.500 0.000
Y: 0.667 0.167 0.500
Y: 0.836 0.836 0.000
Th: 0.000 0.500 0.500

Computed properties:
* symmetry: No. 71
* E_form: 0.03 eV/atom